Entry 1:
DFT (PBE) results for a relaxed structure of LaMgAl. Values from VASP.

Calculated values
DFT total energy (eV/atom): -3.697
ΔE_f (eV/atom): -0.28
Space-group type: P6_3mc

Cell and atoms, written as Quantum ESPRESSO input:
```
&SYSTEM
  ibrav = 0, nat = 6, ntyp = 3
/
ATOMIC_SPECIES
La 138.91 La.upf
Mg 24.30 Mg.upf
Al 26.98 Al.upf
CELL_PARAMETERS angstrom
4.932 0.000 0.000
-2.466 4.271 0.000
0.000 0.000 7.655
ATOMIC_POSITIONS crystal
La 0.000 0.000 0.538
La 0.000 0.000 0.038
Mg 0.333 0.667 0.812
Mg 0.667 0.333 0.312
Al 0.333 0.667 0.255
Al 0.667 0.333 0.755
```

---

Entry 2:
DFT (PBE) results for a relaxed structure of LaMgAl. Values from VASP.

Calculated values
DFT total energy (eV/atom): -3.549
ΔE_f (eV/atom): -0.13
Space-group type: F-43m

Cell and atoms, written as Quantum ESPRESSO input:
```
&SYSTEM
  ibrav = 0, nat = 3, ntyp = 3
/
ATOMIC_SPECIES
Mg 24.30 Mg.upf
Al 26.98 Al.upf
La 138.91 La.upf
CELL_PARAMETERS angstrom
2.746 -2.589 -3.297
2.519 -4.069 1.486
-1.492 -4.549 -1.479
ATOMIC_POSITIONS crystal
Mg 0.750 0.750 0.750
Al 0.000 0.000 0.000
La 0.250 0.250 0.250
```

---

| no. | spin magnetization (μB/f.u.) |
| --- | --- |
| 1 | 0.0 |
| 2 | 0.0 |